1.
# Ac2Np3S8 (GGA-PBE, relaxed)
data_Ac2Np3S8
_cell_length_a 9.662
_cell_length_b 14.098
_cell_length_c 4.788
_cell_angle_alpha 90.00
_cell_angle_beta 90.00
_cell_angle_gamma 90.00
_symmetry_space_group_name_H-M 'C m m m'
_symmetry_Int_Tables_number 65
_symmetry_space_group_name_Hall '-C 2 2'
loop_
_atom_site_label
_atom_site_fract_x
_atom_site_fract_y
_atom_site_fract_z
Ac1 0.000 0.232 0.000
Np1 0.000 0.500 0.000
Np2 0.231 0.000 0.500
S1 0.000 0.115 0.500
S2 0.000 0.390 0.500
S3 0.236 0.386 0.000
# total DFT energy (no corrections) = -7.773 eV per atom
# formation energy without anion corrections = -1.614 eV per atom

=====

2.
# AgSnPdRu (GGA-PBE, relaxed)
data_AgSnPdRu
_cell_length_a 6.438
_cell_length_b 6.438
_cell_length_c 6.438
_cell_angle_alpha 90.00
_cell_angle_beta 90.00
_cell_angle_gamma 90.00
_symmetry_space_group_name_H-M 'F -4 3 m'
_symmetry_Int_Tables_number 216
_symmetry_space_group_name_Hall 'F -4 2 3'
loop_
_atom_site_label
_atom_site_fract_x
_atom_site_fract_y
_atom_site_fract_z
Ag1 0.000 0.000 0.000
Sn1 0.000 0.000 0.500
Pd1 0.250 0.250 0.750
Ru1 0.250 0.250 0.250
# DFT formation energy = -0.061 eV per atom
# total DFT energy (no corrections) = -5.392 eV per atom

=====

3.
# TaBeFeIr2 (GGA-PBE, relaxed)
data_TaBeFeIr2
_cell_length_a 4.457
_cell_length_b 4.457
_cell_length_c 4.404
_cell_angle_alpha 90.00
_cell_angle_beta 90.00
_cell_angle_gamma 90.00
_symmetry_space_group_name_H-M 'P 4/m m m'
_symmetry_Int_Tables_number 123
_symmetry_space_group_name_Hall '-P 4 2'
loop_
_atom_site_label
_atom_site_fract_x
_atom_site_fract_y
_atom_site_fract_z
Ta1 0.000 0.000 0.000
Be1 0.500 0.500 0.000
Fe1 0.000 0.000 0.500
Ir1 0.000 0.500 0.500
# DFT formation energy = 1.313 eV per atom
# total DFT energy (no corrections) = -7.040 eV per atom